Entry 1:
The following is a DFT calculation (PBE-GGA) of a geometry-optimized MgCd2In structure.

Unit cell a=8.289 b=8.289 c=3.184 alpha=90.00 beta=90.00 gamma=118.56
Fractional coordinates of all 8 atoms:
Mg (0.176, 0.176, 0.000)
Mg (0.824, 0.824, 0.500)
Cd (0.025, 0.667, 0.000)
Cd (0.333, 0.975, 0.500)
Cd (0.667, 0.025, 0.000)
Cd (0.975, 0.333, 0.500)
In (0.394, 0.606, 0.750)
In (0.606, 0.394, 0.250)

Calculated values
Magnetization = 0.00 μB/cell
Uncorrected energy = -0.056 hartree per atom
Space group = C222_1 (20)
Calculated formation energy = 1 kJ per mole of atoms
Calculated volume = 24.0 Å³/atom
D(E_F) = 3.38 states/eV/cell

=====

Entry 2:
The following is a DFT calculation (PBE-GGA) of a geometry-optimized Ca2TcRh structure.

Unit cell a=6.294 b=6.294 c=6.294 alpha=102.45 beta=102.45 gamma=124.67
Fractional coordinates of all 8 atoms:
Ca (0.095, 0.125, 0.470)
Ca (0.375, 0.905, 0.030)
Ca (0.655, 0.625, 0.530)
Ca (0.875, 0.345, 0.970)
Tc (0.250, 0.750, 0.500)
Tc (0.500, 0.500, 0.000)
Rh (0.000, 0.000, 0.000)
Rh (0.750, 0.250, 0.500)

Calculated values
Magnetization = 5.41 μB/cell
Uncorrected energy = -0.175 hartree per atom
Space group = I-42d (122)
Calculated formation energy = 65 kJ per mole of atoms
Calculated volume = 22.7 Å³/atom
D(E_F) = 10.20 states/eV/cell

=====

Entry 3:
The following is a DFT calculation (PBE-GGA) of a geometry-optimized KRb2HgI6 structure.

Unit cell a=8.931 b=8.931 c=8.931 alpha=60.00 beta=60.00 gamma=60.00
Fractional coordinates of all 10 atoms:
K (0.000, 0.000, 0.000)
Rb (0.250, 0.250, 0.250)
Rb (0.750, 0.750, 0.750)
Hg (0.500, 0.500, 0.500)
I (0.264, 0.264, 0.736)
I (0.264, 0.736, 0.264)
I (0.264, 0.736, 0.736)
I (0.736, 0.264, 0.264)
I (0.736, 0.264, 0.736)
I (0.736, 0.736, 0.264)

Calculated values
Magnetization = 0.00 μB/cell
Uncorrected energy = -0.076 hartree per atom
Space group = Fm-3m (225)
Calculated volume = 50.4 Å³/atom
D(E_F) = 5.79 states/eV/cell
Energy relative to the elements, uncorrected = -0.8155 eV/atom

=====

Entry 4:
The following is a DFT calculation (PBE-GGA) of a geometry-optimized MnMo2Ir structure.

Unit cell a=3.213 b=3.213 c=5.659 alpha=90.00 beta=90.00 gamma=90.00
Fractional coordinates of all 4 atoms:
Mn (0.000, 0.000, 0.000)
Mo (0.500, 0.500, 0.227)
Mo (0.500, 0.500, 0.773)
Ir (0.000, 0.000, 0.500)

Calculated values
Magnetization = 1.06 μB/cell
Uncorrected energy = -0.359 hartree per atom
Space group = P4/mmm (123)
Calculated formation energy = 14 kJ per mole of atoms
Calculated volume = 14.6 Å³/atom
D(E_F) = 4.66 states/eV/cell

=====

Entry 5:
The following is a DFT calculation (PBE-GGA) of a geometry-optimized Er2Zn4Ga3Ag structure.

Unit cell a=4.142 b=4.142 c=10.817 alpha=90.00 beta=90.00 gamma=90.00
Fractional coordinates of all 10 atoms:
Er (0.000, 0.500, 0.243)
Er (0.500, 0.000, 0.757)
Zn (0.000, 0.000, 0.000)
Zn (0.000, 0.500, 0.642)
Zn (0.500, 0.000, 0.358)
Zn (0.500, 0.500, 0.000)
Ga (0.000, 0.500, 0.863)
Ga (0.500, 0.000, 0.137)
Ga (0.500, 0.500, 0.500)
Ag (0.000, 0.000, 0.500)

Calculated values
Magnetization = 0.00 μB/cell
Uncorrected energy = -0.109 hartree per atom
Space group = P-4m2 (115)
Calculated formation energy = -33 kJ per mole of atoms
Calculated volume = 18.6 Å³/atom
D(E_F) = 5.29 states/eV/cell

=====

Entry 6:
The following is a DFT calculation (PBE-GGA) of a geometry-optimized YRe3H structure.

Unit cell a=4.915 b=4.915 c=4.915 alpha=90.00 beta=90.00 gamma=90.00
Fractional coordinates of all 5 atoms:
Y (0.000, 0.000, 0.000)
Re (0.000, 0.000, 0.500)
Re (0.000, 0.500, 0.000)
Re (0.500, 0.000, 0.000)
H (0.500, 0.500, 0.500)

Calculated values
Magnetization = 3.49 μB/cell
Uncorrected energy = -0.204 hartree per atom
Space group = Pm-3m (221)
Calculated volume = 23.7 Å³/atom
D(E_F) = 5.46 states/eV/cell

=====

Entry 7:
The following is a DFT calculation (PBE-GGA) of a geometry-optimized AlCdS2 structure.

Unit cell a=4.662 b=4.662 c=4.662 alpha=60.00 beta=60.00 gamma=60.00
Fractional coordinates of all 4 atoms:
Al (0.000, 0.000, 0.000)
Cd (0.500, 0.500, 0.500)
S (0.250, 0.250, 0.250)
S (0.750, 0.750, 0.750)

Calculated values
Magnetization = 0.00 μB/cell
Uncorrected energy = -0.120 hartree per atom
Space group = Fm-3m (225)
Calculated volume = 17.9 Å³/atom
D(E_F) = 1.27 states/eV/cell
Energy relative to the elements, uncorrected = -0.0402 eV/atom

=====

Entry 8:
The following is a DFT calculation (PBE-GGA) of a geometry-optimized SeIN3 structure.

Unit cell a=3.911 b=3.911 c=3.911 alpha=90.00 beta=90.00 gamma=90.00
Fractional coordinates of all 5 atoms:
Se (0.000, 0.000, 0.000)
I (0.500, 0.500, 0.500)
N (0.000, 0.000, 0.500)
N (0.000, 0.500, 0.000)
N (0.500, 0.000, 0.000)

Calculated values
Magnetization = 0.00 μB/cell
Uncorrected energy = -0.140 hartree per atom
Space group = Pm-3m (221)
Calculated volume = 12.0 Å³/atom
D(E_F) = 3.51 states/eV/cell
Energy relative to the elements, uncorrected = 2.2038 eV/atom

=====

Entry 9:
The following is a DFT calculation (PBE-GGA) of a geometry-optimized Be2TlCl structure.

Unit cell a=7.073 b=7.073 c=7.073 alpha=27.84 beta=27.84 gamma=27.84
Fractional coordinates of all 4 atoms:
Be (0.248, 0.248, 0.248)
Be (0.752, 0.752, 0.752)
Tl (0.000, 0.000, 0.000)
Cl (0.500, 0.500, 0.500)

Calculated values
Magnetization = 0.00 μB/cell
Uncorrected energy = -0.089 hartree per atom
Space group = R-3m (166)
Calculated volume = 17.0 Å³/atom
D(E_F) = 2.01 states/eV/cell
Energy relative to the elements, uncorrected = 0.4817 eV/atom

=====

Entry 10:
The following is a DFT calculation (PBE-GGA) of a geometry-optimized Nd3Si2Rh2 structure.

Unit cell a=5.729 b=7.969 c=13.364 alpha=90.00 beta=90.00 gamma=90.00
Fractional coordinates of all 28 atoms:
Nd (0.134, 0.112, 0.102)
Nd (0.134, 0.112, 0.398)
Nd (0.134, 0.388, 0.602)
Nd (0.134, 0.388, 0.898)
Nd (0.362, 0.743, 0.750)
Nd (0.362, 0.757, 0.250)
Nd (0.638, 0.243, 0.750)
Nd (0.638, 0.257, 0.250)
Nd (0.866, 0.612, 0.102)
Nd (0.866, 0.612, 0.398)
Nd (0.866, 0.888, 0.602)
Nd (0.866, 0.888, 0.898)
Si (0.153, 0.097, 0.750)
Si (0.153, 0.403, 0.250)
Si (0.377, 0.750, 0.000)
Si (0.377, 0.750, 0.500)
Si (0.623, 0.250, 0.000)
Si (0.623, 0.250, 0.500)
Si (0.847, 0.597, 0.750)
Si (0.847, 0.903, 0.250)
Rh (0.374, 0.032, 0.590)
Rh (0.374, 0.032, 0.910)
Rh (0.374, 0.468, 0.090)
Rh (0.374, 0.468, 0.410)
Rh (0.626, 0.532, 0.590)
Rh (0.626, 0.532, 0.910)
Rh (0.626, 0.968, 0.090)
Rh (0.626, 0.968, 0.410)

Calculated values
Magnetization = 0.00 μB/cell
Uncorrected energy = -0.240 hartree per atom
Space group = Pbcm (57)
Calculated volume = 21.8 Å³/atom
D(E_F) = 21.82 states/eV/cell
Energy relative to the elements, uncorrected = -0.8510 eV/atom

=====

Entry 11:
The following is a DFT calculation (PBE-GGA) of a geometry-optimized AlSi2Ir structure.

Unit cell a=6.001 b=6.001 c=6.001 alpha=153.22 beta=139.08 gamma=49.58
Fractional coordinates of all 4 atoms:
Al (0.000, 0.000, 0.000)
Si (0.301, 0.801, 0.500)
Si (0.699, 0.199, 0.500)
Ir (0.500, 0.500, 0.000)

Calculated values
Magnetization = 0.00 μB/cell
Uncorrected energy = -0.221 hartree per atom
Space group = Immm (71)
Calculated volume = 15.9 Å³/atom
D(E_F) = 1.79 states/eV/cell
Energy relative to the elements, uncorrected = -0.1573 eV/atom

=====

Entry 12:
The following is a DFT calculation (PBE-GGA) of a geometry-optimized Li2YZr structure.

Unit cell a=5.103 b=5.103 c=5.103 alpha=60.00 beta=60.00 gamma=60.00
Fractional coordinates of all 4 atoms:
Li (0.000, 0.000, 0.000)
Li (0.250, 0.250, 0.250)
Y (0.500, 0.500, 0.500)
Zr (0.750, 0.750, 0.750)

Calculated values
Magnetization = 1.14 μB/cell
Uncorrected energy = -0.155 hartree per atom
Space group = F-43m (216)
Calculated formation energy = 46 kJ per mole of atoms
Calculated volume = 23.5 Å³/atom
D(E_F) = 4.98 states/eV/cell